A crystal of LiMnPO4 relaxed with PBEsol. Source: Alexandria via LeMat-Bulk, functional SCAN.

CIF file:
```
data_LiMnPO4
_chemical_formula_sum 'Li1 Mn1 P1 O4'
_cell_length_a 4.296
_cell_length_b 4.296
_cell_length_c 5.505
_cell_angle_alpha 112.97
_cell_angle_beta 112.97
_cell_angle_gamma 90.00
_space_group_name_H-M_alt 'P 1'
_space_group_IT_number 1
loop_
_space_group_symop_operation_xyz
'x,y,z'
loop_
_atom_site_label
_atom_site_fract_x
_atom_site_fract_y
_atom_site_fract_z
P1 0.000 0.000 0.000
O1 0.874 0.290 0.195
O2 0.710 0.679 0.805
O3 0.321 0.905 0.195
Mn1 0.750 0.250 0.500
Li1 0.500 0.500 0.000
O4 0.095 0.126 0.805
```

SG ... No. 82
E above lowest polymorph ... 0.066 eV per atom
Volume ... 12.1 A^3/atom